# 1
HoZrPt: optimized geometry, PBE.

Unit cell a=4.6191 b=4.6191 c=4.6191 alpha=60.00 beta=60.00 gamma=60.00
Sites, in units of the cell vectors:
1 Pt 0.7500 0.7500 0.7500
2 Ho 0.2500 0.2500 0.2500
3 Zr 0.0000 0.0000 0.0000

Output
calculated formation energy = -64 meV per atom
theoretical density = 10.8 g/cm3

# 2
BiAsAuO: optimized geometry, PBE.

Unit cell a=4.0175 b=4.0175 c=9.4818 alpha=90.00 beta=90.00 gamma=90.00
Sites, in units of the cell vectors:
1 O 0.0000 0.0000 0.0000
2 O 0.5000 0.5000 0.0000
3 Bi 0.5000 0.0000 0.1322
4 Bi 0.0000 0.5000 0.8678
5 As 0.5000 0.0000 0.6904
6 As 0.0000 0.5000 0.3096
7 Au 0.0000 0.0000 0.5000
8 Au 0.5000 0.5000 0.5000

Output
energy above the most stable polymorph in this dataset = 0.000 eV per atom
theoretical density = 10.8 g/cm3

- Which value of theoretical density does entry 1 give?
  10.8 g/cm3

- theoretical density of number 2 (BiAsAuO)?
  10.8 g/cm3

- Which value of theoretical density does entry 1 give?
  10.8 g/cm3